(1)
Density functional theory data (PBE-GGA) for an optimized crystal structure of MgCdTe2.

Geometry as POSCAR:
```
MgCdTe2
1.0
8.429 0.000 0.000
0.000 8.059 0.000
-2.142 0.000 3.694
Mg Cd Te
2 2 4
direct
0.000 0.000 0.000
0.500 0.500 0.000
0.000 0.500 0.000
0.500 0.000 0.000
0.250 0.250 0.000
0.250 0.750 0.000
0.750 0.250 0.000
0.750 0.750 0.000
```

Summary:
The raw formation energy comes out at -0.254 eV/atom.


(2)
Density functional theory data (PBE-GGA) for an optimized crystal structure of MgCd2Te.

Geometry as POSCAR:
```
MgCd2Te
1.0
8.317 0.000 0.000
0.000 4.200 0.000
-1.887 0.000 6.274
Mg Cd Te
2 4 2
direct
0.000 0.000 0.000
0.500 0.500 0.000
0.004 0.500 0.536
0.243 0.000 0.740
0.504 0.000 0.536
0.743 0.500 0.740
0.231 0.500 0.213
0.731 0.000 0.213
```

Summary:
As for the energy above the most stable polymorph in this dataset: 0.16 eV/f.u. The raw formation energy comes out at -0.168 eV/atom.


Look up the raw formation energy of the first one.
-0.254 eV/atom


Among the records above, which one has the highest raw formation energy?
MgCd2Te


raw formation energy of number 2 (MgCd2Te)?
-0.168 eV/atom